# 1
DFT (PBE) results for crystalline Cd2FeAs at its relaxed geometry.

- Density of states at the Fermi level: 3.03 states/eV/f.u.
- Formation energy: 0.3403 eV/atom

abc: 5.406 5.406 5.406
angles: 136.73 136.73 62.86
Positions (direct):
Cd 0.250 0.750 0.500
Cd 0.750 0.250 0.500
Fe 0.000 0.000 0.000
As 0.500 0.500 0.000



# 2
DFT (PBE) results for crystalline FeAs2Cl at its relaxed geometry.

- Polymorph energy (0 for the lowest one): 243 kJ/mol of formula units
- Energy relative to the elements, uncorrected: 0.497 eV/atom
- Density of states at the Fermi level: 2.61 states/eV/f.u.

abc: 5.935 5.935 2.845
angles: 90.00 90.00 130.76
Positions (direct):
Fe 0.000 0.000 0.000
As 0.000 0.500 0.500
As 0.500 0.000 0.500
Cl 0.500 0.500 0.000



# 3
DFT (PBE) results for crystalline Sm2TaReN6 at its relaxed geometry.

- Energy relative to the elements, uncorrected: -0.911 eV/atom
- Density of states at the Fermi level: 4.56 states/eV/f.u.

abc: 5.570 5.685 9.659
angles: 90.00 124.96 90.00
Positions (direct):
Sm 0.242 0.049 0.250
Sm 0.242 0.451 0.750
Sm 0.758 0.549 0.250
Sm 0.758 0.951 0.750
Ta 0.500 0.000 0.000
Ta 0.500 0.500 0.500
Re 0.000 0.000 0.500
Re 0.000 0.500 0.000
N 0.161 0.212 0.957
N 0.161 0.288 0.457
N 0.243 0.704 0.958
N 0.243 0.796 0.458
N 0.324 0.016 0.744
N 0.324 0.484 0.244
N 0.676 0.516 0.756
N 0.676 0.984 0.256
N 0.757 0.204 0.542
N 0.757 0.296 0.042
N 0.839 0.712 0.543
N 0.839 0.788 0.043



# 4
DFT (PBE) results for crystalline LuNpRh4 at its relaxed geometry.

- Density of states at the Fermi level: 10.01 states/eV/f.u.
- Formation energy: -0.5263 eV/atom

abc: 5.301 5.301 5.301
angles: 60.00 60.00 60.00
Positions (direct):
Lu 0.000 0.000 0.000
Np 0.250 0.250 0.250
Rh 0.125 0.625 0.625
Rh 0.625 0.125 0.625
Rh 0.625 0.625 0.125
Rh 0.625 0.625 0.625



Which raw total energy belongs to each record? In order, -13.6; -17.6; -185.6; -50.0 eV per cell.